# 1
Density functional theory data (PBE-GGA) for TaMn2Se6 after structural relaxation.

For the energy above the most stable polymorph in this dataset, the calculation gives 0.0 meV/atom. The calculation puts the calculated total energy at -0.460 Ry per atom.

Lattice parameters (Å, degrees): 3.483 8.784 7.744 113.38 103.00 90.00
Last column: magnetic moment on the atom in μB.
Atoms (fractional coordinates):
Ta  0.500  0.000  0.000  -0.13
Mn  0.837  0.676  0.674  2.66
Mn  0.163  0.324  0.326  2.66
Se  0.312  0.856  0.624  -0.01
Se  0.983  0.207  0.967  -0.01
Se  0.659  0.520  0.318  -0.14
Se  0.017  0.793  0.033  -0.01
Se  0.688  0.144  0.376  -0.01
Se  0.341  0.480  0.682  -0.14

=====

# 2
Density functional theory data (PBE-GGA) for TaMn4Se after structural relaxation.

The calculation puts the calculated total energy at -0.619 Ry per atom.

Lattice parameters (Å, degrees): 4.834 4.834 4.834 60.00 60.00 60.00
Last column: magnetic moment on the atom in μB.
Atoms (fractional coordinates):
Ta  0.000  0.000  0.000  -0.33
Mn  0.626  0.626  0.123  1.27
Mn  0.626  0.123  0.626  1.27
Mn  0.626  0.626  0.626  1.27
Mn  0.123  0.626  0.626  1.27
Se  0.250  0.250  0.250  -0.01

=====

# 3
Density functional theory data (PBE-GGA) for TaMn3Se after structural relaxation.

For the energy above the most stable polymorph in this dataset, the calculation gives 0.0 meV/atom. The calculation puts the calculated total energy at -0.574 Ry per atom.

Lattice parameters (Å, degrees): 4.431 4.431 4.431 90.00 90.00 90.00
Last column: magnetic moment on the atom in μB.
Atoms (fractional coordinates):
Mn  0.000  0.500  0.000  2.96
Mn  0.000  0.000  0.500  2.81
Mn  0.500  0.000  0.000  2.95
Se  0.000  0.000  0.000  -0.08
Ta  0.500  0.500  0.500  -1.29

=====

# 4
Density functional theory data (PBE-GGA) for Ta2MnSe5 after structural relaxation.

The calculation puts the calculated total energy at -0.496 Ry per atom.

Lattice parameters (Å, degrees): 4.615 7.147 7.209 84.07 71.33 71.16
Last column: magnetic moment on the atom in μB.
Atoms (fractional coordinates):
Ta  0.813  0.500  0.874  0.06
Ta  0.187  0.500  0.126  0.06
Mn  0.500  0.500  0.500  3.66
Se  0.217  0.740  0.827  -0.01
Se  0.543  0.740  0.173  -0.01
Se  0.000  0.500  0.500  0.01
Se  0.783  0.260  0.173  -0.01
Se  0.457  0.260  0.827  -0.01

=====

# 5
Density functional theory data (PBE-GGA) for TaMn2Se after structural relaxation.

The calculation puts the calculated total energy at -0.609 Ry per atom.

Lattice parameters (Å, degrees): 3.294 4.277 4.211 90.00 90.00 90.00
Last column: magnetic moment on the atom in μB.
Atoms (fractional coordinates):
Mn  0.000  0.000  0.000  2.89
Mn  0.500  0.500  0.000  2.27
Se  0.500  0.000  0.500  0.03
Ta  0.000  0.500  0.500  -0.37

=====

# 6
Density functional theory data (PBE-GGA) for TaMnSe2 after structural relaxation.

For the energy above the most stable polymorph in this dataset, the calculation gives 204.6 meV/atom. The calculation puts the calculated total energy at -0.531 Ry per atom.

Lattice parameters (Å, degrees): 3.241 3.241 6.471 90.00 90.00 90.00
Last column: magnetic moment on the atom in μB.
Atoms (fractional coordinates):
Mn  0.500  0.500  0.750  3.70
Se  0.000  0.000  0.010  0.02
Se  0.000  0.000  0.490  0.02
Ta  0.500  0.500  0.250  0.07

=====

# 7
Density functional theory data (PBE-GGA) for TaMn2Se4 after structural relaxation.

The calculation puts the calculated total energy at -0.501 Ry per atom.

Lattice parameters (Å, degrees): 3.653 6.702 7.021 118.60 105.08 90.00
Last column: magnetic moment on the atom in μB.
Atoms (fractional coordinates):
Ta  0.000  0.000  0.000  0.10
Mn  0.747  0.787  0.495  3.86
Mn  0.253  0.213  0.505  3.86
Se  0.888  0.221  0.776  0.01
Se  0.112  0.779  0.224  0.01
Se  0.633  0.298  0.266  0.02
Se  0.367  0.702  0.734  0.02

=====

# 8
Density functional theory data (PBE-GGA) for TaMn2Se after structural relaxation.

The calculation puts the calculated total energy at -0.608 Ry per atom.

Lattice parameters (Å, degrees): 4.392 4.392 3.223 90.00 90.00 105.08
Last column: magnetic moment on the atom in μB.
Atoms (fractional coordinates):
Mn  0.000  0.000  0.000  2.46
Mn  0.500  0.500  0.000  2.46
Se  0.500  0.000  0.500  -0.03
Ta  0.000  0.500  0.500  -0.55

=====

# 9
Density functional theory data (PBE-GGA) for TaMnSe2 after structural relaxation.

For the energy above the most stable polymorph in this dataset, the calculation gives 201.7 meV/atom. The calculation puts the calculated total energy at -0.531 Ry per atom.

Lattice parameters (Å, degrees): 4.546 4.546 6.583 82.24 82.24 42.93
Last column: magnetic moment on the atom in μB.
Atoms (fractional coordinates):
Mn  0.244  0.244  0.272  3.39
Se  0.985  0.985  0.148  0.04
Se  0.772  0.772  0.619  0.07
Ta  0.500  0.500  0.462  -0.14

=====

# 10
Density functional theory data (PBE-GGA) for Ta2MnSe after structural relaxation.

The calculation puts the calculated total energy at -0.669 Ry per atom.

Lattice parameters (Å, degrees): 3.047 3.047 6.894 90.00 90.00 90.02
Atoms (fractional coordinates):
Mn  0.500  0.500  0.250
Se  0.500  0.500  0.750
Ta  0.000  0.000  0.025
Ta  0.000  0.000  0.475

=====

# 11
Density functional theory data (PBE-GGA) for TaMn3Se after structural relaxation.

For the energy above the most stable polymorph in this dataset, the calculation gives 551.1 meV/atom. The calculation puts the calculated total energy at -0.533 Ry per atom.

Lattice parameters (Å, degrees): 4.734 4.734 4.734 90.00 90.00 90.00
Last column: magnetic moment on the atom in μB.
Atoms (fractional coordinates):
Mn  0.000  0.500  0.000  3.07
Mn  0.000  0.000  0.500  2.92
Mn  0.500  0.000  0.000  3.25
Se  0.500  0.500  0.500  -0.02
Ta  0.000  0.000  0.000  -1.10

=====

# 12
Density functional theory data (PBE-GGA) for Ta3MnSe6 after structural relaxation.

The calculation puts the calculated total energy at -0.513 Ry per atom.

Lattice parameters (Å, degrees): 6.207 8.347 8.347 102.19 90.00 90.00
Last column: magnetic moment on the atom in μB.
Atoms (fractional coordinates):
Ta  0.396  0.998  0.729  -0.18
Ta  0.896  0.729  0.998  -0.18
Ta  0.404  0.402  0.598  -0.13
Ta  0.904  0.598  0.402  -0.13
Ta  0.896  0.002  0.271  -0.18
Ta  0.396  0.271  0.002  -0.18
Mn  0.092  0.226  0.774  2.46
Mn  0.592  0.774  0.226  2.46
Se  0.239  0.700  0.603  0.00
Se  0.739  0.603  0.700  0.00
Se  0.219  0.496  0.885  -0.01
Se  0.719  0.885  0.496  -0.01
Se  0.105  0.040  0.960  0.00
Se  0.676  0.230  0.770  0.00
Se  0.176  0.770  0.230  0.00
Se  0.605  0.960  0.040  0.00
Se  0.219  0.115  0.504  -0.01
Se  0.719  0.504  0.115  -0.01
Se  0.239  0.397  0.300  0.00
Se  0.739  0.300  0.397  0.00

=====

# 13
Density functional theory data (PBE-GGA) for TaMn2Se after structural relaxation.

The calculation puts the calculated total energy at -0.597 Ry per atom.

Lattice parameters (Å, degrees): 4.405 4.405 4.405 60.00 60.00 60.00
Last column: magnetic moment on the atom in μB.
Atoms (fractional coordinates):
Mn  0.000  0.000  0.000  2.28
Mn  0.250  0.250  0.250  3.11
Se  0.500  0.500  0.500  0.02
Ta  0.750  0.750  0.750  -0.37

=====

# 14
Density functional theory data (PBE-GGA) for TaMn2Se after structural relaxation.

The calculation puts the calculated total energy at -0.610 Ry per atom.

Lattice parameters (Å, degrees): 4.761 4.761 4.375 70.55 70.55 39.56
Last column: magnetic moment on the atom in μB.
Atoms (fractional coordinates):
Mn  0.994  0.994  0.008  2.47
Mn  0.506  0.506  0.492  2.47
Se  0.250  0.250  0.250  0.02
Ta  0.750  0.750  0.750  -0.50

=====

# 15
Density functional theory data (PBE-GGA) for TaMn2Se after structural relaxation.

The calculation puts the calculated total energy at -0.611 Ry per atom.

Lattice parameters (Å, degrees): 3.493 3.155 5.648 73.70 90.00 90.00
Last column: magnetic moment on the atom in μB.
Atoms (fractional coordinates):
Mn  0.000  0.050  0.024  2.60
Mn  0.500  0.454  0.217  1.13
Se  0.000  0.305  0.516  0.03
Ta  0.500  0.690  0.744  -0.22

=====

# 16
Density functional theory data (PBE-GGA) for TaMnSe2 after structural relaxation.

For the energy above the most stable polymorph in this dataset, the calculation gives 209.0 meV/atom. The calculation puts the calculated total energy at -0.531 Ry per atom.

Lattice parameters (Å, degrees): 3.062 3.062 8.180 90.00 90.00 90.00
Atoms (fractional coordinates):
Mn  0.500  0.500  0.753
Se  0.000  0.000  0.891
Se  0.500  0.500  0.332
Ta  0.000  0.000  0.524

=====

# 17
Density functional theory data (PBE-GGA) for TaMnSe2 after structural relaxation.

For the energy above the most stable polymorph in this dataset, the calculation gives 526.7 meV/atom. The calculation puts the calculated total energy at -0.508 Ry per atom.

Lattice parameters (Å, degrees): 4.433 4.433 4.433 60.00 60.00 60.00
Atoms (fractional coordinates):
Mn  0.000  0.000  0.000
Se  0.250  0.250  0.250
Se  0.750  0.750  0.750
Ta  0.500  0.500  0.500

=====

# 18
Density functional theory data (PBE-GGA) for Ta2MnSe after structural relaxation.

The calculation puts the calculated total energy at -0.662 Ry per atom.

Lattice parameters (Å, degrees): 4.587 4.587 3.118 83.91 83.91 102.02
Atoms (fractional coordinates):
Mn  0.500  0.000  0.500
Se  0.000  0.500  0.500
Ta  0.000  0.000  0.000
Ta  0.500  0.500  0.000

=====

# 19
Density functional theory data (PBE-GGA) for TaMn2Se after structural relaxation.

The calculation puts the calculated total energy at -0.623 Ry per atom.

Lattice parameters (Å, degrees): 3.349 3.349 5.415 90.00 90.00 90.00
Last column: magnetic moment on the atom in μB.
Atoms (fractional coordinates):
Mn  0.000  0.000  0.994  2.71
Mn  0.000  0.000  0.506  2.71
Se  0.500  0.500  0.250  0.04
Ta  0.500  0.500  0.750  -0.59

=====

# 20
Density functional theory data (PBE-GGA) for TaMn2Se2 after structural relaxation.

For the energy above the most stable polymorph in this dataset, the calculation gives 27.0 meV/atom. The calculation puts the calculated total energy at -0.528 Ry per atom.

Lattice parameters (Å, degrees): 6.957 6.957 2.979 90.00 90.00 90.00
Atoms (fractional coordinates):
Mn  0.143  0.643  0.500
Mn  0.643  0.857  0.500
Mn  0.857  0.357  0.500
Mn  0.357  0.143  0.500
Se  0.342  0.842  0.000
Se  0.842  0.658  0.000
Se  0.658  0.158  0.000
Se  0.158  0.342  0.000
Ta  0.000  0.000  0.000
Ta  0.500  0.500  0.000

=====

| no. | formation energy from raw total energies (eV/atom) | N(E_F) (states/eV/cell) | volume (A^3/atom) |
| --- | --- | --- | --- |
| 1 | -0.58 | 3.976 | 23.4 |
| 2 | 0.25 | 8.717 | 13.3 |
| 3 | 0.76 | 5.300 | 17.4 |
| 4 | -0.47 | 4.217 | 26.6 |
| 5 | 0.13 | 2.677 | 14.8 |
| 6 | -0.23 | 1.236 | 17.0 |
| 7 | -0.51 | 3.391 | 20.6 |
| 8 | 0.15 | 3.479 | 15.0 |
| 9 | -0.23 | 2.309 | 22.9 |
| 10 | -0.02 | 3.503 | 16.0 |
| 11 | 1.32 | 5.684 | 21.2 |
| 12 | -0.42 | 9.341 | 21.1 |
| 13 | 0.29 | 3.553 | 15.1 |
| 14 | 0.11 | 3.048 | 14.8 |
| 15 | 0.11 | 3.601 | 14.9 |
| 16 | -0.23 | 2.474 | 19.2 |
| 17 | 0.09 | 4.619 | 15.4 |
| 18 | 0.08 | 2.786 | 15.8 |
| 19 | -0.05 | 1.186 | 15.2 |
| 20 | 0.24 | 12.598 | 14.4 |